! GGA+U InCoBi2O6, optimized geometry; values from VASP
&SYSTEM
  ibrav = 0, nat = 10, ntyp = 4
/
ATOMIC_SPECIES
In 114.82 In.upf
Co 58.93 Co.upf
Bi 208.98 Bi.upf
O 16.00 O.upf
CELL_PARAMETERS angstrom
2.844 1.642 4.674
-2.844 1.642 4.674
0.000 -3.284 4.674
ATOMIC_POSITIONS angstrom
In 0.000 0.000 0.000
Co 0.000 0.000 6.850
Bi 0.000 0.000 3.804
Bi 0.000 0.000 10.871
O -1.479 0.300 5.613
O -1.216 -1.227 7.842
O 0.479 -1.431 5.613
O -0.455 1.666 7.842
O 0.999 1.131 5.613
O 1.670 -0.439 7.842
! SG: R3 (146)
! raw total energy: -0.4186 Ry per atom